The following is a PBE calculation of crystalline SiMoS2N at its relaxed geometry, from Alexandria via LeMat-Bulk.

Structure (extended XYZ):
```
5
Lattice="4.829 0.000 0.000 0.000 4.829 0.000 0.000 0.000 3.782" Properties=species:S:1:pos:R:3 pbc="T T T"
Si 2.415 2.415 1.891
Mo 0.000 0.000 0.000
S 2.415 0.000 0.000
S 0.000 2.415 0.000
N 0.000 0.000 1.891
```

Offset from the most stable computed form ... 0 meV/atom
E ... -6.211 eV/atom
Space group ... P4/mmm, No. 123
Uncorrected formation energy ... 356 meV per atom
Density ... 3.8 g/cm³
Calculated volume ... 88.20 Å³ per cell
Density of states at the Fermi level ... 1.7 states/eV/cell